# PBE Sr2Tl2Hg15, optimized geometry
# - Calculated formation energy: -0.154 eV/atom
# - Final energy: -0.818 eV/atom
# - Fermi-level density of states: 0.458 states/eV per atom
data_Sr2Tl2Hg15
_cell_length_a 8.7198
_cell_length_b 8.7198
_cell_length_c 8.7198
_cell_angle_alpha 67.83
_cell_angle_beta 67.83
_cell_angle_gamma 67.83
_space_group_name_H-M_alt 'P 1'
_space_group_IT_number 1
_space_group_name_Hall 'P 1'
loop_
_atom_site_label
_atom_site_fract_x
_atom_site_fract_y
_atom_site_fract_z
_atom_site_occupancy
Sr1 0.2087 0.2087 0.2087 1
Sr2 0.7913 0.7913 0.7913 1
Tl1 0.4066 0.4066 0.4066 1
Tl2 0.5934 0.5934 0.5934 1
Hg1 0.0000 0.5000 0.5000 1
Hg2 0.0831 0.0831 0.6838 1
Hg3 0.0831 0.6838 0.0831 1
Hg4 0.1957 0.5000 0.8043 1
Hg5 0.1957 0.8043 0.5000 1
Hg6 0.3162 0.9169 0.9169 1
Hg7 0.5000 0.0000 0.5000 1
Hg8 0.5000 0.1957 0.8043 1
Hg9 0.5000 0.5000 0.0000 1
Hg10 0.5000 0.8043 0.1957 1
Hg11 0.6838 0.0831 0.0831 1
Hg12 0.8043 0.1957 0.5000 1
Hg13 0.8043 0.5000 0.1957 1
Hg14 0.9169 0.3162 0.9169 1
Hg15 0.9169 0.9169 0.3162 1